# 1
First-principles (PBE-GGA) data for GeAsW2 after structural relaxation, as listed in the Alexandria database.

The structure in POSCAR format:
```
GeAsW2
1.0
-1.4138 -5.2194 2.1257
5.1703 -2.0733 -1.6520
4.0342 -2.2143 5.1872
As Ge W
2 2 4
Cartesian
0.0000 0.0000 0.0000
2.2493 -5.5400 3.7749
1.8782 -3.6464 0.2369
5.5414 -3.9670 1.8861
0.7678 -4.0873 2.4239
4.0666 -2.4894 0.5250
4.4221 -4.3906 4.0720
6.3249 -8.0468 4.3010
```

## Properties
Formation energy from the elements in eV/atom: 1.313
Size of the total moment in μB/f.u.: 3.0
Crystal system: tetragonal
Total energy in eV/cell: -59.84

=====

# 2
First-principles (PBE-GGA) data for Y6GeAs5 after structural relaxation, as listed in the Alexandria database.

The structure in POSCAR format:
```
Y6GeAs5
1.0
-6.3959 2.1092 2.3949
-5.1363 -2.7750 -4.1328
-2.8347 -6.3734 1.6127
Y Ge As
6 1 5
Cartesian
-6.1743 -0.7868 1.9934
-5.5367 -3.2239 -1.2631
-2.8964 -0.1693 -0.4394
-8.6357 -0.4964 -1.2985
-8.8301 -3.8153 1.1379
-8.1926 -6.2523 -2.1186
0.0000 0.0000 0.0000
-5.9436 -3.6534 1.5812
-2.6569 -3.0478 -0.8412
-5.7661 -0.3329 -0.8689
-5.3141 -6.1005 -1.6789
-8.4232 -3.3858 -1.7064
```

## Properties
Formation energy from the elements in eV/atom: -1.400
Size of the total moment in μB/f.u.: 0.0
Crystal system: monoclinic
Total energy in eV/cell: -83.45

=====

# 3
First-principles (PBE-GGA) data for Y8Ge5As after structural relaxation, as listed in the Alexandria database.

The structure in POSCAR format:
```
Y8Ge5As
1.0
7.2336 0.0000 -2.5098
-3.5985 6.2491 -2.5734
-0.0365 0.0000 7.6565
Y Ge As
8 5 1
Cartesian
-1.7930 4.6852 -2.1878
6.7297 0.7367 2.8899
4.5546 1.5532 0.3184
3.1294 2.3903 4.1474
1.3379 3.8588 -0.9528
1.3117 5.5125 2.8607
0.9485 1.5639 1.5840
-1.8248 4.6959 1.6337
-1.3457 2.3449 -0.0070
3.1647 5.4720 -2.5367
3.1569 3.9042 1.3022
3.5985 0.0000 2.5734
2.2212 0.7771 6.3882
-0.0183 3.1246 3.8282
```

## Properties
Formation energy from the elements in eV/atom: -0.958
Size of the total moment in μB/f.u.: 0.0
Crystal system: tetragonal
Total energy in eV/cell: -92.86

=====

# 4
First-principles (PBE-GGA) data for Y2GeAs2 after structural relaxation, as listed in the Alexandria database.

The structure in POSCAR format:
```
Y2GeAs2
1.0
7.6210 0.0000 0.0000
0.0000 7.6210 0.0000
0.0000 0.0000 3.9453
Y As Ge
4 4 2
Cartesian
1.2135 5.0240 1.9727
5.0240 6.4075 1.9727
6.4075 2.5970 1.9727
2.5970 1.2135 1.9727
2.6700 6.4805 0.0000
6.4805 4.9510 0.0000
4.9510 1.1405 0.0000
1.1405 2.6700 0.0000
0.0000 0.0000 0.0000
3.8105 3.8105 0.0000
```

## Properties
Formation energy from the elements in eV/atom: -0.920
Size of the total moment in μB/f.u.: 0.0
Crystal system: tetragonal
Total energy in eV/cell: -62.89

=====

# 5
First-principles (PBE-GGA) data for Y2GeAs2 after structural relaxation, as listed in the Alexandria database.

The structure in POSCAR format:
```
Y2GeAs2
1.0
7.7955 0.0000 0.0000
0.0000 7.7955 0.0000
0.0000 0.0000 3.8842
Y As Ge
4 4 2
Cartesian
2.6819 6.5797 0.0000
6.5797 5.1136 0.0000
5.1136 1.2158 0.0000
1.2158 2.6819 0.0000
1.2240 5.1218 1.9421
5.1218 6.5715 1.9421
6.5715 2.6738 1.9421
2.6738 1.2240 1.9421
0.0000 0.0000 0.0000
3.8978 3.8978 0.0000
```

## Properties
Formation energy from the elements in eV/atom: -0.779
Size of the total moment in μB/f.u.: 0.0
Crystal system: tetragonal
Total energy in eV/cell: -61.48

=====

# 6
First-principles (PBE-GGA) data for YGe2As after structural relaxation, as listed in the Alexandria database.

The structure in POSCAR format:
```
YGe2As
1.0
-1.0190 -2.0898 7.5280
5.3820 -5.6908 -0.8513
4.2467 -2.0552 4.1273
Y As Ge
2 2 4
Cartesian
0.0000 0.0000 0.0000
2.7046 -4.0177 7.4968
2.1815 -3.8903 3.3383
5.9051 -5.8182 3.3071
1.1267 -2.4716 5.4151
4.2689 -4.3916 1.6560
4.9750 -4.6219 5.5749
6.8487 -8.1868 8.9619
```

## Properties
Formation energy from the elements in eV/atom: -0.266
Size of the total moment in μB/f.u.: 0.0
Crystal system: tetragonal
Total energy in eV/cell: -42.83

=====

Number 1: D(E_F) 5.11 states/eV/cell. Number 2: D(E_F) 5.09 states/eV/cell. Number 3: D(E_F) 7.94 states/eV/cell. Number 4: D(E_F) 3.85 states/eV/cell. Number 5: D(E_F) 6.54 states/eV/cell. Number 6: D(E_F) 5.78 states/eV/cell.